The following is a PBE calculation of a geometry-optimized NaAs2Pd8 structure, from Alexandria via LeMat-Bulk.

The structure belongs to space group C2/m (No. 12); the cell edges are 7.519, 11.071 and 4.594 Å and the angles 90.00°, 107.05° and 90.00°. Symmetry generates all atoms from Na at (0.000, 0.000, 0.000), As at (0.000, 0.318, 0.500), Pd at (0.000, 0.247, 0.000), Pd at (0.111, 0.500, 0.817) and Pd at (0.198, 0.127, 0.595).

The formation energy comes out at -0.25 eV/atom. For the calculated density, the calculation gives 9.30 g cm⁻³. The total energy comes out at -109.8 eV for the cell shown.